# TbPr2HoEr

A relaxed TbPr2HoEr crystal (GGA-PBE, Alexandria).

The structure in extended XYZ format:
```
10
Lattice="-3.123 -5.960 -2.847 4.239 -4.830 5.459 -6.472 2.883 1.064" Properties=species:S:1:pos:R:3 pbc="T T T"
Pr 2.940 -3.349 3.786
Ho -3.047 -1.246 1.263
Er -0.534 -3.703 3.650
Tb -2.830 -3.456 5.651
Ho -2.309 -6.660 2.413
Er -4.821 -4.203 0.025
Pr 1.379 -6.329 2.362
Pr 1.299 -1.480 1.673
Tb -2.526 -4.450 -1.976
Pr -0.262 -4.460 0.250
```

Results
Energy relative to the elements (meV/atom): 440
N(E_F) (states/eV/atom): 1.422
Calculated total energy (eV/cell): -42.3
Space-group type: Cmcm, No. 63

***

# Al2Mo

A relaxed Al2Mo crystal (GGA-PBE, Alexandria).

The structure in extended XYZ format:
```
6
Lattice="1.973 3.514 6.165 -3.812 -4.594 -4.314 3.014 -3.433 0.992" Properties=species:S:1:pos:R:3 pbc="T T T"
Al 2.022 -2.160 2.904
Al -0.848 -2.353 -0.061
Mo 1.071 0.336 3.414
Mo 0.104 -4.848 -0.572
Al -2.729 -4.990 -3.469
Al 3.904 0.477 6.312
```

Results
Energy relative to the elements (meV/atom): -54
N(E_F) (states/eV/atom): 0.624
Calculated total energy (eV/cell): -37.0
Space-group type: Cmcm, No. 63

***

# Li2CaAcIn2

A relaxed Li2CaAcIn2 crystal (GGA-PBE, Alexandria).

The structure in extended XYZ format:
```
6
Lattice="5.069 0.000 0.000 -2.534 4.390 0.000 0.000 0.000 7.608" Properties=species:S:1:pos:R:3 pbc="T T T"
In 2.534 1.463 5.636
Li 0.000 2.926 5.430
Ac 0.000 0.000 0.000
Li 2.534 1.463 2.178
In 0.000 2.926 1.972
Ca 0.000 0.000 3.804
```

Results
Energy relative to the elements (meV/atom): -297
N(E_F) (states/eV/atom): 1.143
Calculated total energy (eV/cell): -17.2
Space-group type: P-3m1, No. 164